Entry 1:
Pr2Tm2Th15: optimized geometry, PBE.

Unit cell a=11.5013 b=11.5013 c=17.1428 alpha=90.00 beta=90.00 gamma=120.00
Space group R-3m (No. 166, hexagonal axes)
Asymmetric unit:
Pr: 0.0000 0.0000 0.1715
Tm: 0.0000 0.0000 0.4008
Th: 0.0000 0.2961 0.5000
Th: 0.0000 0.5000 0.0000
Th: 0.0096 0.5048 0.6528

Properties
Total moment   0.0 μB per formula unit
E_form   264.8 meV/atom
Raw total energy   -6.57 eV per atom

Entry 2:
Pr3Tm6Th: optimized geometry, PBE.

Unit cell a=9.8703 b=9.8703 c=11.7707 alpha=90.00 beta=90.00 gamma=120.00
Space group R3 (No. 146, hexagonal axes)
Asymmetric unit:
Pr: 0.0000 0.0000 0.0000
Pr: 0.0000 0.0000 0.2449
Pr: 0.0000 0.0000 0.4897
Tm: 0.0001 0.3275 0.7443
Tm: 0.9999 0.6666 0.2442
Th: 0.0000 0.0000 0.7447

Properties
Total moment   0.0 μB per formula unit
E_form   340.0 meV/atom
Raw total energy   -4.52 eV per atom
Offset from the most stable computed form   0.2200 eV/atom

Entry 3:
Pr7Tm16Th6: optimized geometry, PBE.

Unit cell a=15.685 b=15.685 c=15.685 alpha=90.00 beta=90.00 gamma=90.00
Space group Fm-3m (No. 225)
Asymmetric unit:
Pr: 0.000 0.000 0.000
Pr: 0.000 0.250 0.250
Tm: 0.122 0.122 0.122
Tm: 0.159 0.159 0.341
Th: 0.000 0.000 0.331

Properties
Total moment   0.0 μB per formula unit
E_form   335.3 meV/atom
Raw total energy   -4.82 eV per atom

Entry 4:
PrYTmTh2: optimized geometry, PBE.

Unit cell a=6.698 b=15.703 c=6.698 alpha=90.00 beta=90.00 gamma=90.00
Space group Cmcm (No. 63)
Asymmetric unit:
Pr: 0.000 0.249 0.250
Y: 0.000 0.152 0.750
Tm: 0.000 0.350 0.750
Th: 0.249 0.500 0.000

Properties
Total moment   0.0 μB per formula unit
E_form   376.4 meV/atom
Raw total energy   -5.73 eV per atom

Entry 5:
PrYTm2Th: optimized geometry, PBE.

Unit cell a=3.543 b=5.634 c=8.655 alpha=90.00 beta=90.00 gamma=90.00
Space group Pmmm (No. 47)
Asymmetric unit:
Pr: 0.000 0.000 0.000
Y: 0.500 0.000 0.500
Tm: 0.000 0.500 0.322
Th: 0.500 0.500 0.000

Properties
Total moment   0.0 μB per formula unit
E_form   311.7 meV/atom
Raw total energy   -5.21 eV per atom

Entry 6:
PrYTm3Th: optimized geometry, PBE.

Unit cell a=5.823 b=11.286 c=11.649 alpha=90.00 beta=90.00 gamma=90.00
Space group Cmcm (No. 63)
Asymmetric unit:
Pr: 0.000 0.000 0.000
Y: 0.000 0.179 0.250
Tm: 0.000 0.175 0.750
Tm: 0.000 0.332 0.502
Th: 0.000 0.499 0.250

Properties
Total moment   0.0 μB per formula unit
E_form   119.7 meV/atom
Raw total energy   -5.23 eV per atom

Entry 7:
Pr3Y6TmTh2: optimized geometry, PBE.

Unit cell a=6.243 b=10.805 c=11.881 alpha=90.00 beta=100.09 gamma=90.00
Space group C2/m (No. 12)
Asymmetric unit:
Pr: 0.000 0.000 0.000
Pr: 0.000 0.334 0.000
Y: 0.244 0.000 0.744
Y: 0.250 0.168 0.256
Tm: 0.000 0.500 0.500
Th: 0.000 0.167 0.500

Properties
Total moment   0.0 μB per formula unit
E_form   16.7 meV/atom
Raw total energy   -6.02 eV per atom

Entry 8:
Pr2Y5TmTh: optimized geometry, PBE.

Unit cell a=8.744 b=8.744 c=15.585 alpha=90.00 beta=90.00 gamma=90.00
Space group I4/mcm (No. 140)
Asymmetric unit:
Pr: 0.117 0.383 0.000
Y: 0.000 0.000 0.000
Y: 0.213 0.287 0.360
Tm: 0.000 0.500 0.250
Th: 0.000 0.000 0.250

Properties
Total moment   0.0 μB per formula unit
E_form   288.8 meV/atom
Raw total energy   -5.69 eV per atom

Entry 9:
PrY3Tm6Th2: optimized geometry, PBE.

Unit cell a=6.167 b=10.671 c=11.666 alpha=90.00 beta=100.13 gamma=90.00
Space group C2/m (No. 12)
Asymmetric unit:
Pr: 0.000 0.000 0.000
Y: 0.000 0.166 0.500
Y: 0.000 0.500 0.500
Tm: 0.244 0.500 0.248
Tm: 0.248 0.331 0.752
Th: 0.000 0.333 0.000

Properties
Total moment   0.0 μB per formula unit
E_form   36.5 meV/atom
Raw total energy   -5.45 eV per atom

Entry 10:
PrY2TmTh: optimized geometry, PBE.

Unit cell a=3.550 b=5.653 c=8.748 alpha=90.00 beta=90.00 gamma=90.00
Space group Pmmm (No. 47)
Asymmetric unit:
Pr: 0.000 0.000 0.000
Y: 0.000 0.500 0.322
Tm: 0.500 0.000 0.500
Th: 0.500 0.500 0.000

Properties
Total moment   0.0 μB per formula unit
E_form   327.9 meV/atom
Raw total energy   -5.59 eV per atom